No. 1
Compound: La2ErPu
Source: Alexandria via LeMat-Bulk
Functional: GGA-PBE
Structure: optimized geometry

a b c (Å): 3.6000 3.6000 10.1467
angles (deg): 90.00 90.00 90.00
With the nearest neighbours (Å) after each atom.
Positions (direct):
1 La 0.0000 0.0000 0.2453  4 Pu 3.56, 4 La 3.60, 4 Er 3.63
2 La 0.0000 0.0000 0.7547  4 Pu 3.56, 4 La 3.60, 4 Er 3.63
3 Er 0.5000 0.5000 0.5000  4 Er 3.60, 8 La 3.63
4 Pu 0.5000 0.5000 0.0000  8 La 3.56, 4 Pu 3.60

Values from the calculation:
Its theoretical density is 8.701 g/cm³. The energy relative to the lowest polymorph listed for this composition is 0.0 meV per atom. Its density of states at the Fermi level is 2.25 states/eV per atom. Its space group is P4/mmm, No. 123. As for the total DFT energy (no corrections): -7.0761 eV per atom. The calculation puts the volume at 131.5 Å³/f.u.

=====

No. 2
Compound: KPuAg2Br8
Source: Alexandria via LeMat-Bulk
Functional: GGA-PBE
Structure: optimized geometry

a b c (Å): 8.3065 8.3065 8.3065
angles (deg): 107.36 107.36 113.78
With the nearest neighbours (Å) after each atom.
Positions (direct):
1 K 0.0000 0.0000 0.0000  8 Br 3.25-3.51
2 Pu 0.2500 0.7500 0.5000  8 Br 2.90-3.02
3 Ag 0.5000 0.5000 0.0000  4 Br 2.69
4 Ag 0.7500 0.2500 0.5000  4 Br 2.63
5 Br 0.3114 0.1006 0.7892  1 Ag 2.69, 1 Pu 2.90
6 Br 0.3114 0.5223 0.2108  1 Ag 2.69, 1 Pu 2.90
7 Br 0.3563 0.0264 0.3298  1 Ag 2.63
8 Br 0.4777 0.6886 0.7892  1 Ag 2.69, 1 Pu 2.90
9 Br 0.6966 0.0264 0.6702  1 Ag 2.63
10 Br 0.8994 0.6886 0.2108  1 Ag 2.69, 1 Pu 2.90
11 Br 0.9736 0.3034 0.3298  1 Ag 2.63
12 Br 0.9736 0.6437 0.6702  1 Ag 2.63

Values from the calculation:
Its theoretical density is 4.302 g/cm³. The value obtained for the raw formation energy is -0.8447 eV per atom. Its density of states at the Fermi level is 2.01 states/eV per atom. Its space group is I-4m2, No. 119. As for the total DFT energy (no corrections): -3.7210 eV per atom. The calculation puts the volume at 439.3 Å³/f.u.

=====

No. 3
Compound: Mg4Os
Source: Alexandria via LeMat-Bulk
Functional: GGA-PBE
Structure: optimized geometry

a b c (Å): 5.0021 5.0021 5.0021
angles (deg): 90.00 90.00 90.00
With the nearest neighbours (Å) after each atom.
Positions (direct):
1 Mg 0.0000 0.0000 0.0000  12 Mg 3.54
2 Mg 0.0000 0.5000 0.5000  2 Os 2.50
3 Mg 0.5000 0.0000 0.5000  2 Os 2.50
4 Mg 0.5000 0.5000 0.0000  2 Os 2.50
5 Os 0.5000 0.5000 0.5000  6 Mg 2.50

Values from the calculation:
Its theoretical density is 3.814 g/cm³. The energy relative to the lowest polymorph listed for this composition is 417.2 meV per atom. Its density of states at the Fermi level is 0.60 states/eV per atom. Its space group is Pm-3m, No. 221. As for the total DFT energy (no corrections): -3.0081 eV per atom. The calculation puts the volume at 125.2 Å³/f.u.

=====

No. 4
Compound: Hg2BiPb
Source: Alexandria via LeMat-Bulk
Functional: GGA-PBE
Structure: optimized geometry

a b c (Å): 4.8481 4.8481 4.8328
angles (deg): 90.00 90.00 90.00
With the nearest neighbours (Å) after each atom.
Positions (direct):
1 Hg 0.0000 0.5000 0.0000  4 Pb 3.42, 4 Bi 3.42, 4 Hg 3.43
2 Hg 0.5000 0.0000 0.0000  4 Pb 3.42, 4 Bi 3.42, 4 Hg 3.43
3 Bi 0.0000 0.0000 0.5000  8 Hg 3.42, 4 Pb 3.43
4 Pb 0.5000 0.5000 0.5000  8 Hg 3.42, 4 Bi 3.43

Values from the calculation:
Its theoretical density is 11.949 g/cm³. Its density of states at the Fermi level is 0.55 states/eV per atom. Its space group is P4/mmm, No. 123. As for the total DFT energy (no corrections): -1.9908 eV per atom. The calculation puts the volume at 113.6 Å³/f.u.

=====

Question: What is the formula in the second record?
Answer: KPuAg2Br8